Below is crystalline ZnCrMo at its relaxed geometry, with properties calculated at the PBE level.

Cell: 2.5561 4.1231 7.9242 Å, 90.00 90.00 90.00°
Closest atoms and distances in Å follow each position.
Space group Imm2 (No. 44)
Symmetry-distinct sites (fractional):
Zn 0.0000 0.0000 0.0000 x2  2 Zn 2.56, 5 Mo 2.65-2.76, 5 Cr 2.69-2.74
Cr 0.0000 0.0000 0.6607 x2  2 Cr 2.56, 5 Mo 2.59-2.79, 5 Zn 2.69-2.74
Mo 0.0000 0.0000 0.3339 x2  2 Mo 2.56, 5 Cr 2.59-2.79, 5 Zn 2.65-2.76

Summary:
E_form = 0.63 eV/f.u.
size of the total moment = 0.00 Bohr magnetons per cell
E above lowest polymorph = 0.0685 eV per atom
total energy = -0.5168 Ry/atom

=====

Below is crystalline AlFe2CoC at its relaxed geometry, with properties calculated at the PBE level.

Cell: 3.7371 3.7371 3.7489 Å, 90.00 90.00 90.00°
Closest atoms and distances in Å follow each position.
Space group P4/mmm (No. 123)
Symmetry-distinct sites (fractional):
Al 0.0000 0.0000 0.0000 x1  4 Co 2.64, 8 Fe 2.65
Fe 0.0000 0.5000 0.5000 x2  2 C 1.87
Co 0.5000 0.5000 0.0000 x1  2 C 1.87
C 0.5000 0.5000 0.5000 x1  4 Fe 1.87, 2 Co 1.87

Summary:
E_form = -0.90 eV/f.u.
size of the total moment = 2.03 Bohr magnetons per cell
total energy = -0.5571 Ry/atom

=====

Below is crystalline Hf2MgIn at its relaxed geometry, with properties calculated at the PBE level.

Cell: 2.9560 24.0550 5.2757 Å, 90.00 90.00 90.00°
Closest atoms and distances in Å follow each position.
Space group Cmcm (No. 63)
Symmetry-distinct sites (fractional):
Hf 0.0000 0.0993 0.2500 x4  4 Hf 2.96-3.02, 2 In 3.05, 3 Mg 3.08-3.19
Hf 0.0000 0.1603 0.7500 x4  4 Hf 2.96-3.02, 1 Mg 3.05, 5 In 3.11-3.25
Mg 0.0000 0.0334 0.7500 x4  4 Mg 2.96-3.09, 4 Hf 3.05-3.19
In 0.0000 0.2897 0.7500 x4  2 In 2.96, 7 Hf 3.05-3.25

Summary:
E_form = 1.41 eV/f.u.
size of the total moment = 0.00 Bohr magnetons per cell
total energy = -0.4194 Ry/atom

=====

Below is crystalline InPd3Ru at its relaxed geometry, with properties calculated at the PBE level.

Cell: 4.8767 4.8767 4.8767 Å, 90.00 90.00 90.00°
Closest atoms and distances in Å follow each position.
Space group Pm-3m (No. 221)
Symmetry-distinct sites (fractional):
In 0.0000 0.0000 0.0000 x1  6 Pd 2.44
Pd 0.0000 0.0000 0.5000 x3  2 In 2.44
Ru 0.5000 0.5000 0.5000 x1  12 Pd 3.45

Summary:
E_form = 6.31 eV/f.u.
size of the total moment = 3.02 Bohr magnetons per cell
E above lowest polymorph = 0.3323 eV per atom
total energy = -0.3129 Ry/atom

=====

Below is crystalline TlCoBH2 at its relaxed geometry, with properties calculated at the PBE level.

Cell: 3.3794 3.3794 5.6281 Å, 90.00 90.00 90.00°
Closest atoms and distances in Å follow each position.
Space group P4/mmm (No. 123)
Symmetry-distinct sites (fractional):
Tl 0.0000 0.0000 0.0000 x1  4 H 1.69
Co 0.0000 0.0000 0.5000 x1  4 B 2.39
B 0.5000 0.5000 0.5000 x1  4 Co 2.39
H 0.0000 0.5000 0.0000 x2  2 Tl 1.69

Summary:
size of the total moment = 1.05 Bohr magnetons per cell
E above lowest polymorph = 0.1890 eV per atom
total energy = -0.2435 Ry/atom

=====

Below is crystalline RbTl2Te at its relaxed geometry, with properties calculated at the PBE level.

Cell: 9.5451 9.5451 7.0712 Å, 90.00 90.00 90.00°
Closest atoms and distances in Å follow each position.
Space group I-42d (No. 122)
Symmetry-distinct sites (fractional):
Rb 0.0000 0.0000 0.0000 x4  2 Te 3.54, 4 Tl 3.77
Tl 0.2093 0.2500 0.6250 x8  2 Te 3.24, 2 Tl 3.62
Te 0.0000 0.0000 0.5000 x4  4 Tl 3.24, 2 Rb 3.54

Summary:
size of the total moment = 0.00 Bohr magnetons per cell
raw formation energy = -352 meV/atom
E above lowest polymorph = 0.0186 eV per atom
total energy = -0.1883 Ry/atom

=====

Below is crystalline MnZnCu2 at its relaxed geometry, with properties calculated at the PBE level.

Cell: 8.7772 2.7103 4.4816 Å, 90.00 101.84 90.00°
Closest atoms and distances in Å follow each position.
Space group Cm (No. 8)
Symmetry-distinct sites (fractional):
Mn 0.0000 0.0000 0.0000 x2  7 Cu 2.60-2.64, 3 Zn 2.68, 2 Mn 2.71
Zn 0.2548 0.5000 0.2712 x2  7 Cu 2.60-2.63, 3 Mn 2.68, 2 Zn 2.71
Cu 0.0038 0.5000 0.5067 x2  4 Mn 2.60-2.64, 3 Zn 2.60-2.63, 5 Cu 2.60-2.72
Cu 0.2490 0.0000 0.7650 x2  4 Zn 2.60-2.63, 5 Cu 2.60-2.72, 3 Mn 2.61-2.62

Summary:
E_form = 0.24 eV/f.u.
size of the total moment = 7.35 Bohr magnetons per cell
total energy = -0.3379 Ry/atom

=====

Below is crystalline GdLu2Mg at its relaxed geometry, with properties calculated at the PBE level.

Cell: 4.8311 4.8311 4.9406 Å, 90.00 90.00 90.00°
Closest atoms and distances in Å follow each position.
Space group P4/mmm (No. 123)
Symmetry-distinct sites (fractional):
Gd 0.0000 0.0000 0.0000 x1  4 Mg 3.42, 8 Lu 3.46
Lu 0.0000 0.5000 0.5000 x2  4 Lu 3.42, 4 Gd 3.46, 4 Mg 3.46
Mg 0.5000 0.5000 0.0000 x1  4 Gd 3.42, 8 Lu 3.46

Summary:
E_form = 0.09 eV/f.u.
size of the total moment = 8.48 Bohr magnetons per cell
E above lowest polymorph = 0.0325 eV per atom
total energy = -0.4525 Ry/atom

=====

Below is crystalline HfHgSe2Br at its relaxed geometry, with properties calculated at the PBE level.

Cell: 5.1896 5.1896 5.3833 Å, 90.00 90.00 90.00°
Closest atoms and distances in Å follow each position.
Space group P4/mmm (No. 123)
Symmetry-distinct sites (fractional):
Hf 0.0000 0.0000 0.0000 x1  4 Se 2.59, 2 Br 2.69
Hg 0.5000 0.5000 0.5000 x1  4 Br 3.67, 8 Se 3.74
Se 0.0000 0.5000 0.0000 x2  2 Hf 2.59
Br 0.0000 0.0000 0.5000 x1  2 Hf 2.69

Summary:
size of the total moment = 0.00 Bohr magnetons per cell
raw formation energy = -614 meV/atom
E above lowest polymorph = 0.0000 eV per atom
total energy = -0.3229 Ry/atom

=====

Below is crystalline Sr2Ga5Ni3 at its relaxed geometry, with properties calculated at the PBE level.

Cell: 10.2467 12.4596 5.8206 Å, 90.00 90.00 90.00°
Closest atoms and distances in Å follow each position.
Space group Ibam (No. 72)
Symmetry-distinct sites (fractional):
Sr 0.2288 0.1387 0.0000 x8  10 Ga 3.11-3.41, 4 Ni 3.21-3.34
Ga 0.0000 0.0000 0.2500 x4  4 Ni 2.47
Ga 0.0000 0.2822 0.2500 x8  3 Ni 2.51-2.71, 2 Ga 2.69
Ga 0.1600 0.4069 0.0000 x8  3 Ni 2.48-2.56, 2 Ga 2.69
Ni 0.0000 0.5000 0.2500 x4  6 Ga 2.48-2.71
Ni 0.0968 0.1387 0.5000 x8  5 Ga 2.47-2.56

Summary:
E_form = -4.15 eV/f.u.
size of the total moment = 0.00 Bohr magnetons per cell
total energy = -0.2939 Ry/atom

=====

Below is crystalline Sc2BeHg at its relaxed geometry, with properties calculated at the PBE level.

Cell: 4.2744 3.4489 10.6727 Å, 90.00 90.00 90.00°
Closest atoms and distances in Å follow each position.
Space group Amm2 (No. 38)
Symmetry-distinct sites (fractional):
Sc 0.0000 0.0000 0.0000 x2  4 Be 2.88, 3 Hg 2.93-2.97
Sc 0.5000 0.0000 0.3169 x2  3 Be 2.81-3.06, 4 Hg 2.93
Be 0.5000 0.0000 0.5800 x2  2 Hg 2.62, 5 Sc 2.81-2.88
Hg 0.0000 0.0000 0.7215 x2  2 Be 2.62, 6 Sc 2.93

Summary:
E_form = -0.56 eV/f.u.
size of the total moment = 0.01 Bohr magnetons per cell
E above lowest polymorph = 0.0966 eV per atom
total energy = -0.3170 Ry/atom

=====

Below is crystalline HfBe2P at its relaxed geometry, with properties calculated at the PBE level.

Cell: 6.6888 6.6888 5.0016 Å, 90.00 90.00 90.00°
Closest atoms and distances in Å follow each position.
Space group I-42d (No. 122)
Symmetry-distinct sites (fractional):
Hf 0.0000 0.0000 0.0000 x4  2 P 2.50, 4 Be 2.75
Be 0.1877 0.7500 0.6250 x8  2 P 2.18
P 0.0000 0.0000 0.5000 x4  4 Be 2.18

Summary:
E_form = -0.40 eV/f.u.
size of the total moment = 0.00 Bohr magnetons per cell
total energy = -0.4267 Ry/atom

=====

Below is crystalline Ho12BiIr6 at its relaxed geometry, with properties calculated at the PBE level.

Cell: 9.9402 9.9402 9.9402 Å, 90.00 90.00 90.00°
Closest atoms and distances in Å follow each position.
Space group Im-3 (No. 204)
Symmetry-distinct sites (fractional):
Ho 0.0000 0.3013 0.1951 x24  1 Ir 2.66
Bi 0.0000 0.0000 0.0000 x2  12 Ho 3.57
Ir 0.0000 0.1261 0.5000 x12  1 Ir 2.51, 2 Ho 2.66

Summary:
E_form = -12.38 eV/f.u.
size of the total moment = 0.00 Bohr magnetons per cell
total energy = -0.4811 Ry/atom

=====

Below is crystalline Na2NbPdS at its relaxed geometry, with properties calculated at the PBE level.

Cell: 5.8226 5.8226 4.7975 Å, 90.00 90.00 90.00°
Closest atoms and distances in Å follow each position.
Space group P4/mmm (No. 123)
Symmetry-distinct sites (fractional):
Na 0.0000 0.5000 0.0000 x2  2 Nb 2.91
Nb 0.0000 0.0000 0.0000 x1  2 Pd 2.40
Pd 0.0000 0.0000 0.5000 x1  2 Nb 2.40
S 0.5000 0.5000 0.5000 x1  8 Na 3.77, 4 Pd 4.12

Summary:
size of the total moment = 3.00 Bohr magnetons per cell
raw formation energy = 1152 meV/atom
total energy = -0.2391 Ry/atom

=====

Below is crystalline SmY6Ho2Er3 at its relaxed geometry, with properties calculated at the PBE level.

Cell: 6.1541 10.6470 11.7766 Å, 90.00 99.99 90.00°
Closest atoms and distances in Å follow each position.
Space group C2/m (No. 12)
Symmetry-distinct sites (fractional):
Sm 0.0000 0.0000 0.0000 x2  6 Ho 3.55, 6 Y 3.56-3.57
Y 0.2490 0.3331 0.7486 x8  3 Er 3.53-3.54, 6 Y 3.55-3.56, 2 Ho 3.56, 1 Sm 3.57
Y 0.2497 0.0000 0.7487 x4  3 Er 3.54, 6 Y 3.55-3.56, 1 Sm 3.56, 2 Ho 3.56
Ho 0.0000 0.3333 0.0000 x4  3 Ho 3.55, 3 Sm 3.55, 6 Y 3.56
Er 0.0000 0.1670 0.5000 x4  6 Y 3.53-3.54, 6 Er 3.55-3.56
Er 0.0000 0.5000 0.5000 x2  6 Y 3.54, 6 Er 3.55

Summary:
E_form = 0.28 eV/f.u.
size of the total moment = 0.00 Bohr magnetons per cell
total energy = -0.4047 Ry/atom

=====

Below is crystalline SrFe3Au at its relaxed geometry, with properties calculated at the PBE level.

Cell: 4.8977 4.8977 4.8977 Å, 90.00 90.00 90.00°
Closest atoms and distances in Å follow each position.
Space group Pm-3m (No. 221)
Symmetry-distinct sites (fractional):
Sr 0.0000 0.0000 0.0000 x1  12 Fe 3.46
Fe 0.0000 0.5000 0.5000 x3  2 Au 2.45
Au 0.5000 0.5000 0.5000 x1  6 Fe 2.45

Summary:
E_form = 4.28 eV/f.u.
size of the total moment = 9.21 Bohr magnetons per cell
total energy = -0.3833 Ry/atom

=====

Below is crystalline Tb6Sm3DyEr2 at its relaxed geometry, with properties calculated at the PBE level.

Cell: 6.1776 10.6941 11.8183 Å, 90.00 99.99 90.00°
Closest atoms and distances in Å follow each position.
Space group C2/m (No. 12)
Symmetry-distinct sites (fractional):
Tb 0.2494 0.0000 0.2469 x4  1 Dy 3.53, 2 Er 3.54, 6 Tb 3.56-3.57, 3 Sm 3.59
Tb 0.2503 0.1668 0.7530 x8  2 Er 3.53-3.54, 1 Dy 3.54, 6 Tb 3.56-3.57, 3 Sm 3.59-3.60
Sm 0.0000 0.0000 0.5000 x2  6 Sm 3.56-3.57, 6 Tb 3.59
Sm 0.0000 0.3332 0.5000 x4  6 Sm 3.56-3.57, 6 Tb 3.59-3.60
Dy 0.0000 0.5000 0.0000 x2  6 Tb 3.53-3.54, 6 Er 3.56-3.57
Er 0.0000 0.1667 0.0000 x4  6 Tb 3.53-3.54, 3 Dy 3.56-3.57, 3 Er 3.57

Summary:
E_form = 0.19 eV/f.u.
size of the total moment = 0.00 Bohr magnetons per cell
total energy = -0.3398 Ry/atom